(1)
SiCl3F | PBE | relaxed

a b c (Å): 4.538 4.538 4.538
angles (deg): 90.00 90.00 90.00
Last column: magnetic moment on the atom in μB.
Sites, in units of the cell vectors:
Si: 0.000 0.000 0.000  0.01
F: 0.500 0.500 0.500  -0.40
Cl: 0.000 0.500 0.000  -0.01
Cl: 0.000 0.000 0.500  -0.02
Cl: 0.500 0.000 0.000  -0.01

Energy above the lowest structure with this stoichiometry (eV per formula unit): 6.68
Mass density (Mg/m³): 2.73
Crystal system: cubic
M_tot (μB/atom): 0.10
Raw formation energy (eV per atom): -0.380
Symmetry: Pm-3m, No. 221

---

(2)
SiClF2 | PBE | relaxed

a b c (Å): 10.153 10.153 10.153
angles (deg): 15.65 15.65 15.65
Sites, in units of the cell vectors:
Si: 0.000 0.000 0.000
F: 0.946 0.946 0.946
F: 0.054 0.054 0.054
Cl: 0.500 0.500 0.500

Energy above the lowest structure with this stoichiometry (eV per formula unit): 0.00
Mass density (Mg/m³): 2.54
Crystal system: trigonal
M_tot (μB/atom): 0.00
Raw formation energy (eV per atom): -1.280
Symmetry: R-3m, No. 166

---

(3)
Si3ClF | PBE | relaxed

a b c (Å): 4.647 4.647 4.647
angles (deg): 90.00 90.00 90.00
Last column: magnetic moment on the atom in μB.
Sites, in units of the cell vectors:
Si: 0.000 0.500 0.000  0.19
Si: 0.000 0.000 0.500  0.15
Si: 0.500 0.000 0.000  0.13
F: 0.000 0.000 0.000  0.06
Cl: 0.500 0.500 0.500  0.26

Energy above the lowest structure with this stoichiometry (eV per formula unit): 0.00
Mass density (Mg/m³): 2.29
Crystal system: cubic
M_tot (μB/atom): 0.38
Raw formation energy (eV per atom): 0.712
Symmetry: Pm-3m, No. 221

---

(4)
Si3ClF | PBE | relaxed

a b c (Å): 4.824 4.824 4.824
angles (deg): 90.00 90.00 90.00
Sites, in units of the cell vectors:
Si: 0.000 0.500 0.000
Si: 0.000 0.000 0.500
Si: 0.500 0.000 0.000
F: 0.500 0.500 0.500
Cl: 0.000 0.000 0.000

Energy above the lowest structure with this stoichiometry (eV per formula unit): 1.60
Mass density (Mg/m³): 2.05
Crystal system: cubic
M_tot (μB/atom): 0.00
Raw formation energy (eV per atom): 1.033
Symmetry: Pm-3m, No. 221

---

(5)
SiCl3F | PBE | relaxed

a b c (Å): 10.895 5.457 9.334
angles (deg): 107.00 125.71 90.00
Sites, in units of the cell vectors:
Si: 0.069 0.152 0.500
Si: 0.569 0.848 0.500
Cl: 0.597 0.853 0.736
Cl: 0.361 0.618 0.264
Cl: 0.097 0.382 0.736
Cl: 0.744 0.729 0.500
Cl: 0.861 0.147 0.264
Cl: 0.244 0.271 0.500
F: 0.070 0.858 0.500
F: 0.570 0.142 0.500

Energy above the lowest structure with this stoichiometry (eV per formula unit): 0.00
Mass density (Mg/m³): 1.21
Crystal system: orthorhombic
M_tot (μB/atom): 0.00
Raw formation energy (eV per atom): -1.716
Symmetry: Ima2, No. 46

---

(6)
SiClF | PBE | relaxed

a b c (Å): 4.062 6.265 6.653
angles (deg): 99.19 90.03 71.07
Sites, in units of the cell vectors:
Cl: 0.082 0.820 0.072
Cl: 0.665 0.654 0.529
F: 0.414 0.155 0.511
F: 0.840 0.304 0.994
Si: 0.499 0.986 0.679
Si: 0.970 0.044 0.869

Mass density (Mg/m³): 1.74
Crystal system: monoclinic
M_tot (μB/atom): 0.00
Raw formation energy (eV per atom): -1.708
Symmetry: Cm, No. 8

---

(7)
SiCl2F | PBE | relaxed

a b c (Å): 4.427 4.427 4.427
angles (deg): 60.00 60.00 60.00
Sites, in units of the cell vectors:
Si: 0.500 0.500 0.500
F: 0.000 0.000 0.000
Cl: 0.250 0.250 0.250
Cl: 0.750 0.750 0.750

Energy above the lowest structure with this stoichiometry (eV per formula unit): 0.39
Mass density (Mg/m³): 3.19
Crystal system: cubic
M_tot (μB/atom): 0.00
Raw formation energy (eV per atom): -0.218
Symmetry: Fm-3m, No. 225

---

(8)
SiCl2F | PBE | relaxed

a b c (Å): 5.970 5.970 7.277
angles (deg): 65.78 65.78 90.00
Last column: magnetic moment on the atom in μB.
Sites, in units of the cell vectors:
Si: 0.000 0.000 0.000  0.01
Si: 0.750 0.250 0.500  0.01
F: 0.500 0.500 0.000  -0.22
F: 0.250 0.750 0.500  -0.22
Cl: 0.726 0.125 0.250  0.00
Cl: 0.024 0.625 0.250  0.00
Cl: 0.375 0.274 0.750  0.00
Cl: 0.875 0.976 0.750  0.00

Energy above the lowest structure with this stoichiometry (eV per formula unit): 0.00
Mass density (Mg/m³): 1.86
Crystal system: tetragonal
M_tot (μB/atom): 0.06
Raw formation energy (eV per atom): -0.315
Symmetry: I-42d, No. 122

---

(9)
Si2Cl4F | PBE | relaxed

a b c (Å): 5.125 5.125 8.301
angles (deg): 72.02 72.02 90.00
Last column: magnetic moment on the atom in μB.
Sites, in units of the cell vectors:
Si: 0.585 0.585 0.829  0.00
Si: 0.415 0.415 0.171  0.00
F: 0.000 0.000 0.000  0.50
Cl: 0.725 0.725 0.550  0.00
Cl: 0.275 0.275 0.450  0.00
Cl: 0.000 0.500 0.000  0.19
Cl: 0.500 0.000 0.000  0.19

Mass density (Mg/m³): 1.84
Crystal system: tetragonal
M_tot (μB/atom): 0.14
Raw formation energy (eV per atom): -0.261
Symmetry: I4/mmm, No. 139

---

(10)
SiCl2F | PBE | relaxed

a b c (Å): 7.927 7.927 7.927
angles (deg): 25.68 25.68 25.68
Sites, in units of the cell vectors:
Si: 0.500 0.500 0.500
F: 0.000 0.000 0.000
Cl: 0.902 0.902 0.902
Cl: 0.098 0.098 0.098

Energy above the lowest structure with this stoichiometry (eV per formula unit): 0.29
Mass density (Mg/m³): 2.38
Crystal system: trigonal
M_tot (μB/atom): 0.00
Raw formation energy (eV per atom): -0.243
Symmetry: R-3m, No. 166

---

(11)
SiClF3 | PBE | relaxed

a b c (Å): 4.391 4.391 4.391
angles (deg): 90.00 90.00 90.00
Sites, in units of the cell vectors:
Si: 0.500 0.500 0.500
F: 0.000 0.500 0.000
F: 0.000 0.000 0.500
F: 0.500 0.000 0.000
Cl: 0.000 0.000 0.000

Energy above the lowest structure with this stoichiometry (eV per formula unit): 13.48
Mass density (Mg/m³): 2.36
Crystal system: cubic
M_tot (μB/atom): 0.00
Raw formation energy (eV per atom): 0.040
Symmetry: Pm-3m, No. 221

---

(12)
Si2ClF | PBE | relaxed

a b c (Å): 4.234 4.234 8.558
angles (deg): 75.68 75.68 90.00
Sites, in units of the cell vectors:
Si: 0.518 0.125 0.250
Si: 0.232 0.625 0.250
Si: 0.375 0.482 0.750
Si: 0.875 0.768 0.750
F: 0.500 0.500 0.000
F: 0.250 0.750 0.500
Cl: 0.000 0.000 0.000
Cl: 0.750 0.250 0.500

Energy above the lowest structure with this stoichiometry (eV per formula unit): 0.00
Mass density (Mg/m³): 2.56
Crystal system: tetragonal
M_tot (μB/atom): 0.00
Raw formation energy (eV per atom): -0.310
Symmetry: I-42d, No. 122